First-principles (PBE with a Hubbard U) data for crystalline Na2ScCrF8 at its relaxed geometry, as listed in Alexandria.

Output
E_tot, eV per atom: -5.78
SG: No. 65

a = 5.0955 Å, b = 5.0955 Å, c = 6.4358 Å
α = 90.00°, β = 90.00°, γ = 92.57°
Closest atoms and distances in Å follow each position.
Sites, in units of the cell vectors:
Na: 0.0000 0.0000 0.2440  6 F 2.25-2.41
Na: 0.0000 0.0000 0.7560  6 F 2.25-2.41
Sc: 0.5000 0.5000 0.5000  6 F 1.97-2.11
Cr: 0.5000 0.5000 0.0000  6 F 1.91-2.00
F: 0.2199 0.2199 0.5000  1 Sc 1.97
F: 0.2294 0.2294 0.0000  1 Cr 1.91
F: 0.3270 0.6730 0.2395  1 Cr 2.00, 1 Sc 2.11
F: 0.3270 0.6730 0.7605  1 Cr 2.00, 1 Sc 2.11
F: 0.6730 0.3270 0.2395  1 Cr 2.00, 1 Sc 2.11
F: 0.6730 0.3270 0.7605  1 Cr 2.00, 1 Sc 2.11
F: 0.7706 0.7706 0.0000  1 Cr 1.91
F: 0.7801 0.7801 0.5000  1 Sc 1.97